Model i:
! PaPb2F8, optimized geometry, DFT PBE; values from VASP
! crystal system: monoclinic
! space-group type: C2/m, No. 12
! M_tot: 1.000 μB/cell
&SYSTEM
  ibrav = 0, nat = 11, ntyp = 3
/
ATOMIC_SPECIES
Pa 231.04 Pa.upf
Pb 207.20 Pb.upf
F 19.00 F.upf
CELL_PARAMETERS angstrom
7.444 -2.070 0.000
7.444 2.070 0.000
-2.043 0.000 5.547
ATOMIC_POSITIONS angstrom
Pa 0.000 0.000 0.000
Pb 4.060 0.000 1.811
Pb 8.784 0.000 3.737
F 0.533 0.000 2.174
F 0.234 0.000 5.343
F 2.757 0.000 3.800
F 6.746 0.000 1.012
F 6.099 0.000 4.535
F 10.087 0.000 1.748
F 12.610 0.000 0.204
F 12.312 0.000 3.373

***

Model ii:
! PaPb2F8, optimized geometry, DFT PBE; values from VASP
! crystal system: orthorhombic
! space-group type: Immm, No. 71
! M_tot: 1.000 μB/cell
&SYSTEM
  ibrav = 0, nat = 11, ntyp = 3
/
ATOMIC_SPECIES
Pa 231.04 Pa.upf
Pb 207.20 Pb.upf
F 19.00 F.upf
CELL_PARAMETERS angstrom
-1.995 3.316 6.119
1.995 -3.316 6.119
1.995 3.316 -6.119
ATOMIC_POSITIONS angstrom
Pa 0.000 0.000 0.000
Pb 0.000 0.000 4.123
Pb 0.000 0.000 8.114
F 1.995 0.000 1.355
F 1.995 -1.636 4.408
F 1.995 2.063 0.000
F 0.000 1.680 1.711
F 1.995 1.636 4.408
F 0.000 1.253 6.119
F 0.000 4.952 1.711
F 0.000 3.316 4.764

***

model i comes first in stability; the runner-up is 0.083 eV/atom higher.

***

Model i:
! Pu2PaF8, optimized geometry, DFT PBE; values from VASP
! crystal system: orthorhombic
! space-group type: Immm, No. 71
! M_tot: 13.000 μB/cell
&SYSTEM
  ibrav = 0, nat = 11, ntyp = 3
/
ATOMIC_SPECIES
Pu 244.00 Pu.upf
Pa 231.04 Pa.upf
F 19.00 F.upf
CELL_PARAMETERS angstrom
-1.962 3.291 5.829
1.962 -3.291 5.829
1.962 3.291 -5.829
ATOMIC_POSITIONS angstrom
Pu 0.000 0.000 2.078
Pu 0.000 0.000 9.579
Pa 0.000 0.000 5.829
F 1.962 1.525 -1.828
F 0.000 1.311 0.000
F 1.962 0.000 4.232
F 1.962 1.525 1.828
F 0.000 1.765 4.001
F 0.000 3.291 1.596
F 0.000 5.270 0.000
F 0.000 1.765 7.656

***

Model ii:
! Pu2PaF8, optimized geometry, DFT PBE; values from VASP
! crystal system: monoclinic
! space-group type: C2/m, No. 12
! M_tot: 13.000 μB/cell
&SYSTEM
  ibrav = 0, nat = 11, ntyp = 3
/
ATOMIC_SPECIES
Pu 244.00 Pu.upf
Pa 231.04 Pa.upf
F 19.00 F.upf
CELL_PARAMETERS angstrom
3.617 -5.246 0.000
3.617 5.246 0.000
-0.702 0.000 4.222
ATOMIC_POSITIONS angstrom
Pu 3.617 3.521 0.000
Pu 3.617 -3.521 0.000
Pa 3.266 0.000 2.111
F 0.950 0.000 1.582
F 1.698 1.313 3.956
F 3.266 2.414 2.111
F 1.698 -1.313 3.956
F 4.835 1.313 0.266
F 3.266 -2.414 2.111
F 4.835 -1.313 0.266
F 5.583 0.000 2.640

***

model i comes first in stability; the runner-up is 0.015 eV/atom higher.

***

Model i:
! PaSF, optimized geometry, DFT PBE; values from VASP
! crystal system: orthorhombic
! space-group type: Pnma, No. 62
! M_tot: 5.831 μB/cell
&SYSTEM
  ibrav = 0, nat = 12, ntyp = 3
/
ATOMIC_SPECIES
Pa 231.04 Pa.upf
S 32.06 S.upf
F 19.00 F.upf
CELL_PARAMETERS angstrom
8.111 0.000 0.000
0.000 3.750 0.000
0.000 0.000 6.835
ATOMIC_POSITIONS angstrom
Pa 1.215 0.937 1.646
Pa 2.840 2.812 5.064
Pa 5.271 0.937 1.771
Pa 6.895 2.812 5.189
S 0.797 0.937 4.458
S 3.258 2.812 1.040
S 4.853 0.937 5.795
S 7.313 2.812 2.378
F 0.818 2.812 6.702
F 3.238 0.937 3.284
F 4.873 2.812 3.551
F 7.293 0.937 0.134

***

Model ii:
! PaSF, optimized geometry, DFT PBE; values from VASP
! crystal system: cubic
! space-group type: F-43m, No. 216
! M_tot: 2.031 μB/cell
&SYSTEM
  ibrav = 0, nat = 3, ntyp = 3
/
ATOMIC_SPECIES
Pa 231.04 Pa.upf
S 32.06 S.upf
F 19.00 F.upf
CELL_PARAMETERS angstrom
0.000 3.143 3.143
3.143 0.000 3.143
3.143 3.143 0.000
ATOMIC_POSITIONS angstrom
Pa 0.000 0.000 0.000
S 1.571 1.571 1.571
F 4.714 4.714 4.714

***

model i comes first in stability; the runner-up is 0.157 eV/atom higher.

***

Model i:
! PaSF, optimized geometry, DFT PBE; values from VASP
! crystal system: hexagonal
! space-group type: P6_3/mmc, No. 194
! M_tot: 2.215 μB/cell
&SYSTEM
  ibrav = 0, nat = 6, ntyp = 3
/
ATOMIC_SPECIES
Pa 231.04 Pa.upf
S 32.06 S.upf
F 19.00 F.upf
CELL_PARAMETERS angstrom
4.046 0.000 0.000
-2.023 3.504 0.000
0.000 0.000 7.491
ATOMIC_POSITIONS angstrom
Pa 0.000 2.336 1.873
Pa 2.023 1.168 5.618
S 0.000 0.000 0.000
S 0.000 0.000 3.745
F 0.000 2.336 5.618
F 2.023 1.168 1.873

***

Model ii:
! PaSF, optimized geometry, DFT PBE; values from VASP
! crystal system: hexagonal
! space-group type: P-6m2, No. 187
! M_tot: 1.225 μB/cell
&SYSTEM
  ibrav = 0, nat = 3, ntyp = 3
/
ATOMIC_SPECIES
Pa 231.04 Pa.upf
S 32.06 S.upf
F 19.00 F.upf
CELL_PARAMETERS angstrom
4.094 0.000 0.000
-2.047 3.546 0.000
0.000 0.000 3.664
ATOMIC_POSITIONS angstrom
Pa 0.000 0.000 0.000
S 0.000 2.364 1.832
F 2.047 1.182 0.000

***

Model iii:
! PaSF, optimized geometry, DFT PBE; values from VASP
! crystal system: tetragonal
! space-group type: I4mm, No. 107
! M_tot: 1.447 μB/cell
&SYSTEM
  ibrav = 0, nat = 3, ntyp = 3
/
ATOMIC_SPECIES
Pa 231.04 Pa.upf
S 32.06 S.upf
F 19.00 F.upf
CELL_PARAMETERS angstrom
-1.711 1.711 4.475
1.711 -1.711 4.475
1.711 1.711 -4.475
ATOMIC_POSITIONS angstrom
Pa 0.000 0.000 0.000
S 0.000 0.000 2.969
F 0.000 0.000 5.595

***

model ii comes first in stability; the runner-up is 0.065 eV/atom higher.

***

Model i:
! PaSbF, optimized geometry, DFT PBE; values from VASP
! crystal system: hexagonal
! space-group type: P-6m2, No. 187
! M_tot: 0.078 μB/cell
&SYSTEM
  ibrav = 0, nat = 3, ntyp = 3
/
ATOMIC_SPECIES
Pa 231.04 Pa.upf
Sb 121.76 Sb.upf
F 19.00 F.upf
CELL_PARAMETERS angstrom
4.150 0.000 0.000
-2.075 3.594 0.000
0.000 0.000 4.328
ATOMIC_POSITIONS angstrom
Pa 0.000 0.000 0.000
Sb 2.075 1.198 2.164
F 0.000 2.396 0.000

***

Model ii:
! PaSbF, optimized geometry, DFT PBE; values from VASP
! crystal system: orthorhombic
! space-group type: Cmcm, No. 63
! M_tot: 1.479 μB/cell
&SYSTEM
  ibrav = 0, nat = 6, ntyp = 3
/
ATOMIC_SPECIES
Pa 231.04 Pa.upf
Sb 121.76 Sb.upf
F 19.00 F.upf
CELL_PARAMETERS angstrom
2.093 -5.762 0.000
2.093 5.762 0.000
0.000 0.000 6.137
ATOMIC_POSITIONS angstrom
Pa 2.093 4.115 4.603
Pa 2.093 -4.115 1.534
Sb 2.093 4.093 1.534
Sb 2.093 -4.093 4.603
F 2.093 0.781 1.534
F 2.093 -0.781 4.603

***

model i comes first in stability; the runner-up is 0.109 eV/atom higher.

***

Model i:
! PaSeF, optimized geometry, DFT PBE; values from VASP
! crystal system: orthorhombic
! space-group type: Pnma, No. 62
! M_tot: 6.362 μB/cell
&SYSTEM
  ibrav = 0, nat = 12, ntyp = 3
/
ATOMIC_SPECIES
Pa 231.04 Pa.upf
Se 78.96 Se.upf
F 19.00 F.upf
CELL_PARAMETERS angstrom
7.092 0.000 0.000
0.000 3.944 0.000
0.000 0.000 9.482
ATOMIC_POSITIONS angstrom
Pa 1.058 0.986 1.712
Pa 2.488 2.958 6.453
Pa 4.604 0.986 3.029
Pa 6.034 2.958 7.770
Se 1.097 0.986 8.227
Se 2.449 2.958 3.486
Se 4.643 0.986 5.996
Se 5.995 2.958 1.255
F 0.259 2.958 5.866
F 3.287 0.986 1.125
F 3.804 2.958 8.357
F 6.833 0.986 3.616

***

Model ii:
! PaSeF, optimized geometry, DFT PBE; values from VASP
! crystal system: hexagonal
! space-group type: P-6m2, No. 187
! M_tot: 1.234 μB/cell
&SYSTEM
  ibrav = 0, nat = 3, ntyp = 3
/
ATOMIC_SPECIES
Pa 231.04 Pa.upf
Se 78.96 Se.upf
F 19.00 F.upf
CELL_PARAMETERS angstrom
4.151 0.000 0.000
-2.076 3.595 0.000
0.000 0.000 3.887
ATOMIC_POSITIONS angstrom
Pa 0.000 0.000 0.000
Se 2.076 1.198 1.943
F 0.000 2.397 0.000

***

Model iii:
! PaSeF, optimized geometry, DFT PBE; values from VASP
! crystal system: cubic
! space-group type: F-43m, No. 216
! M_tot: 2.007 μB/cell
&SYSTEM
  ibrav = 0, nat = 3, ntyp = 3
/
ATOMIC_SPECIES
Pa 231.04 Pa.upf
Se 78.96 Se.upf
F 19.00 F.upf
CELL_PARAMETERS angstrom
0.000 3.271 3.271
3.271 0.000 3.271
3.271 3.271 0.000
ATOMIC_POSITIONS angstrom
Pa 0.000 0.000 0.000
Se 4.907 4.907 4.907
F 1.636 1.636 1.636

***

Model iv:
! PaSeF, optimized geometry, DFT PBE; values from VASP
! crystal system: tetragonal
! space-group type: I4mm, No. 107
! M_tot: 1.614 μB/cell
&SYSTEM
  ibrav = 0, nat = 3, ntyp = 3
/
ATOMIC_SPECIES
Pa 231.04 Pa.upf
Se 78.96 Se.upf
F 19.00 F.upf
CELL_PARAMETERS angstrom
-1.729 1.729 4.837
1.729 -1.729 4.837
1.729 1.729 -4.837
ATOMIC_POSITIONS angstrom
Pa 0.000 0.000 0.000
Se 0.000 0.000 3.126
F 0.000 0.000 5.872

***

model ii comes first in stability; the runner-up is 0.056 eV/atom higher.

***

Model i:
! PaSeF2, optimized geometry, DFT PBE; values from VASP
! crystal system: trigonal
! space-group type: R-3m, No. 166
! M_tot: 0.637 μB/cell
&SYSTEM
  ibrav = 0, nat = 4, ntyp = 3
/
ATOMIC_SPECIES
Pa 231.04 Pa.upf
Se 78.96 Se.upf
F 19.00 F.upf
CELL_PARAMETERS angstrom
1.556 0.899 10.636
-1.556 0.899 10.636
0.000 -1.797 10.636
ATOMIC_POSITIONS angstrom
Pa 0.000 0.000 0.000
Se 0.000 0.000 15.953
F 0.000 0.000 12.258
F 0.000 0.000 19.648

***

Model ii:
! PaSeF2, optimized geometry, DFT PBE; values from VASP
! crystal system: orthorhombic
! space-group type: Cmmm, No. 65
! M_tot: 1.002 μB/cell
&SYSTEM
  ibrav = 0, nat = 4, ntyp = 3
/
ATOMIC_SPECIES
Pa 231.04 Pa.upf
Se 78.96 Se.upf
F 19.00 F.upf
CELL_PARAMETERS angstrom
2.788 -3.705 0.000
2.788 3.705 0.000
0.000 0.000 3.933
ATOMIC_POSITIONS angstrom
Pa 0.000 0.000 0.000
Se 2.788 0.000 0.000
F 2.788 2.494 1.967
F 2.788 -2.494 1.967

***

model ii comes first in stability; the runner-up is 0.808 eV/atom higher.

***

Model i:
! PbF4, optimized geometry, DFT PBE; values from VASP
! crystal system: tetragonal
! space-group type: I4/mmm, No. 139
! M_tot: 0.011 μB/cell
&SYSTEM
  ibrav = 0, nat = 5, ntyp = 2
/
ATOMIC_SPECIES
Pb 207.20 Pb.upf
F 19.00 F.upf
CELL_PARAMETERS angstrom
-2.182 2.182 4.253
2.182 -2.182 4.253
2.182 2.182 -4.253
ATOMIC_POSITIONS angstrom
Pb 0.000 0.000 0.000
F 2.182 0.000 0.000
F 0.000 0.000 1.997
F 0.000 2.182 0.000
F 0.000 0.000 6.508

***

Model ii:
! PbF4, optimized geometry, DFT PBE; values from VASP
! crystal system: cubic
! space-group type: Pm-3m, No. 221
! M_tot: 0.628 μB/cell
&SYSTEM
  ibrav = 0, nat = 5, ntyp = 2
/
ATOMIC_SPECIES
Pb 207.20 Pb.upf
F 19.00 F.upf
CELL_PARAMETERS angstrom
4.357 0.000 0.000
0.000 4.357 0.000
0.000 0.000 4.357
ATOMIC_POSITIONS angstrom
Pb 0.000 0.000 0.000
F 0.000 0.000 2.179
F 0.000 2.179 0.000
F 2.179 0.000 0.000
F 2.179 2.179 2.179

***

model i comes first in stability; the runner-up is 0.327 eV/atom higher.

***

Model i:
! PdPbF, optimized geometry, DFT PBE; values from VASP
! crystal system: monoclinic
! space-group type: Cm, No. 8
! M_tot: 0.000 μB/cell
&SYSTEM
  ibrav = 0, nat = 6, ntyp = 3
/
ATOMIC_SPECIES
Pd 106.42 Pd.upf
Pb 207.20 Pb.upf
F 19.00 F.upf
CELL_PARAMETERS angstrom
4.246 -2.376 0.000
4.246 2.376 0.000
-2.815 0.000 5.733
ATOMIC_POSITIONS angstrom
Pd 0.000 0.000 0.000
Pd 5.667 0.000 0.063
Pb 2.834 0.000 0.027
Pb 5.975 0.000 2.896
F -0.194 0.000 3.295
F 2.583 0.000 2.495

***

Model ii:
! PdPbF, optimized geometry, DFT PBE; values from VASP
! crystal system: triclinic
! space-group type: P1, No. 1
! M_tot: 0.000 μB/cell
&SYSTEM
  ibrav = 0, nat = 6, ntyp = 3
/
ATOMIC_SPECIES
Pd 106.42 Pd.upf
Pb 207.20 Pb.upf
F 19.00 F.upf
CELL_PARAMETERS angstrom
3.336 0.000 0.000
1.663 4.953 0.000
0.037 2.400 6.799
ATOMIC_POSITIONS angstrom
Pd 0.000 0.000 0.000
Pd 1.697 3.423 4.644
Pb 3.347 4.188 2.322
Pb 3.367 5.388 5.721
F 1.699 1.393 3.492
F 3.361 2.030 1.152

***

model i comes first in stability; the runner-up is 0.150 eV/atom higher.

***

Model i:
! Pd2PbF2, optimized geometry, DFT PBE; values from VASP
! crystal system: tetragonal
! space-group type: I4/mmm, No. 139
! M_tot: 0.512 μB/cell
&SYSTEM
  ibrav = 0, nat = 5, ntyp = 3
/
ATOMIC_SPECIES
Pd 106.42 Pd.upf
Pb 207.20 Pb.upf
F 19.00 F.upf
CELL_PARAMETERS angstrom
-1.864 1.864 5.667
1.864 -1.864 5.667
1.864 1.864 -5.667
ATOMIC_POSITIONS angstrom
Pd 0.000 0.000 1.343
Pd 0.000 0.000 9.990
Pb 0.000 0.000 5.667
F 1.864 0.000 2.833
F 0.000 1.864 2.833

***

Model ii:
! Pd2PbF2, optimized geometry, DFT PBE; values from VASP
! crystal system: tetragonal
! space-group type: P4/mbm, No. 127
! M_tot: 0.122 μB/cell
&SYSTEM
  ibrav = 0, nat = 10, ntyp = 3
/
ATOMIC_SPECIES
Pd 106.42 Pd.upf
Pb 207.20 Pb.upf
F 19.00 F.upf
CELL_PARAMETERS angstrom
7.245 0.000 0.000
0.000 7.245 0.000
0.000 0.000 3.052
ATOMIC_POSITIONS angstrom
Pd 0.926 2.697 0.000
Pd 2.697 6.319 0.000
Pd 4.548 0.926 0.000
Pd 6.319 4.548 0.000
Pb 0.000 0.000 0.000
Pb 3.622 3.622 0.000
F 1.334 4.956 1.526
F 2.289 1.334 1.526
F 4.956 5.911 1.526
F 5.911 2.289 1.526

***

model i comes first in stability; the runner-up is 0.153 eV/atom higher.

***

Model i:
! PdPbF4, optimized geometry, DFT PBE; values from VASP
! crystal system: monoclinic
! space-group type: C2/c, No. 15
! M_tot: 0.000 μB/cell
&SYSTEM
  ibrav = 0, nat = 12, ntyp = 3
/
ATOMIC_SPECIES
Pd 106.42 Pd.upf
Pb 207.20 Pb.upf
F 19.00 F.upf
CELL_PARAMETERS angstrom
3.729 -6.179 0.000
3.729 6.179 0.000
-2.305 0.000 3.984
ATOMIC_POSITIONS angstrom
Pd 2.000 5.362 2.988
Pd 3.153 -5.362 0.996
Pb 3.153 1.786 0.996
Pb 2.000 -1.786 2.988
F 0.662 3.788 3.675
F 0.792 0.808 2.445
F 3.339 3.788 2.301
F 1.944 -0.808 0.453
F 3.209 0.808 3.531
F 1.814 -3.788 1.683
F 4.362 -0.808 1.539
F 4.492 -3.788 0.309

***

Model ii:
! PdPbF4, optimized geometry, DFT PBE; values from VASP
! crystal system: tetragonal
! space-group type: I4/mcm, No. 140
! M_tot: 0.110 μB/cell
&SYSTEM
  ibrav = 0, nat = 12, ntyp = 3
/
ATOMIC_SPECIES
Pd 106.42 Pd.upf
Pb 207.20 Pb.upf
F 19.00 F.upf
CELL_PARAMETERS angstrom
-2.992 2.992 5.468
2.992 -2.992 5.468
2.992 2.992 -5.468
ATOMIC_POSITIONS angstrom
Pd 2.992 0.000 0.000
Pd 0.000 2.992 0.000
Pb 0.000 0.000 2.734
Pb 0.000 0.000 8.202
F 4.002 1.009 -1.425
F 1.009 1.983 -1.425
F 4.002 1.009 1.425
F 1.009 1.983 1.425
F 1.983 1.009 4.043
F -1.009 1.983 4.043
F 1.983 1.009 6.893
F -1.009 1.983 6.893

***

model ii comes first in stability; the runner-up is 0.131 eV/atom higher.